1.
! LuTl PBEsol optimized geometry; values from VASP
! Uncorrected energy, eV per atom: -4.09
! Symmetry: P4/mmm
! Total moment, μB per formula unit: 0.0
! ΔH_f (0 K), eV/atom: -0.341
&SYSTEM
  ibrav = 0, nat = 2, ntyp = 2
/
ATOMIC_SPECIES
Lu 174.97 Lu.upf
Tl 204.38 Tl.upf
ATOMIC_POSITIONS crystal
Lu 0.500 0.500 0.500
Tl 0.000 0.000 0.000
CELL_PARAMETERS angstrom
3.431 0.000 0.000
0.000 3.431 0.000
0.000 0.000 4.166


2.
! ScMn2Be PBEsol optimized geometry; values from VASP
! Uncorrected energy, eV per atom: -7.29
! Symmetry: I4/mmm
! Total moment, μB per formula unit: 5.0
! ΔH_f (0 K), eV/atom: 0.239
&SYSTEM
  ibrav = 0, nat = 4, ntyp = 3
/
ATOMIC_SPECIES
Mn 54.94 Mn.upf
Sc 44.96 Sc.upf
Be 9.01 Be.upf
ATOMIC_POSITIONS crystal
Mn 0.250 0.750 0.500
Mn 0.750 0.250 0.500
Sc 0.500 0.500 0.000
Be 0.000 0.000 0.000
CELL_PARAMETERS angstrom
-1.940 -3.146 0.885
3.135 -1.501 1.538
-1.477 3.766 1.989


3.
! YScW2Se PBEsol optimized geometry; values from VASP
! Uncorrected energy, eV per atom: -8.38
! Symmetry: P4/mmm
! Total moment, μB per formula unit: 0.0
! Uncorrected formation energy, meV per atom: 599
&SYSTEM
  ibrav = 0, nat = 5, ntyp = 4
/
ATOMIC_SPECIES
W 183.84 W.upf
Sc 44.96 Sc.upf
Se 78.96 Se.upf
Y 88.91 Y.upf
ATOMIC_POSITIONS crystal
W 0.000 0.500 0.000
W 0.500 0.000 0.000
Sc 0.000 0.000 0.500
Se 0.000 0.000 0.000
Y 0.500 0.500 0.500
CELL_PARAMETERS angstrom
4.673 0.000 0.000
0.000 4.673 0.000
0.000 0.000 4.853


4.
! Zr2TaTc PBEsol optimized geometry; values from VASP
! E above lowest polymorph, meV/atom: 133
! Uncorrected energy, eV per atom: -10.55
! Symmetry: F-43m
! Total moment, μB per formula unit: 0.0
! ΔH_f (0 K), eV/atom: -0.054
&SYSTEM
  ibrav = 0, nat = 4, ntyp = 3
/
ATOMIC_SPECIES
Zr 91.22 Zr.upf
Ta 180.95 Ta.upf
Tc 98.00 Tc.upf
ATOMIC_POSITIONS crystal
Zr 0.750 0.750 0.750
Zr 0.000 0.000 0.000
Ta 0.500 0.500 0.500
Tc 0.250 0.250 0.250
CELL_PARAMETERS angstrom
4.666 0.000 0.000
2.333 4.041 0.000
2.333 1.347 3.810


5.
! LiTlAu2 PBEsol optimized geometry; values from VASP
! Uncorrected energy, eV per atom: -3.35
! Symmetry: F-43m
! Total moment, μB per formula unit: 0.0
! ΔH_f (0 K), eV/atom: -0.241
&SYSTEM
  ibrav = 0, nat = 4, ntyp = 3
/
ATOMIC_SPECIES
Au 196.97 Au.upf
Li 6.94 Li.upf
Tl 204.38 Tl.upf
ATOMIC_POSITIONS crystal
Au 0.000 0.000 0.000
Au 0.750 0.750 0.750
Li 0.500 0.500 0.500
Tl 0.250 0.250 0.250
CELL_PARAMETERS angstrom
4.674 0.000 0.000
2.337 4.047 0.000
2.337 1.349 3.816


6.
! TlZn2Os PBEsol optimized geometry; values from VASP
! E above lowest polymorph, meV/atom: 0
! Uncorrected energy, eV per atom: -4.05
! Symmetry: I4/mmm
! Total moment, μB per formula unit: 0.0
! ΔH_f (0 K), eV/atom: 0.453
&SYSTEM
  ibrav = 0, nat = 4, ntyp = 3
/
ATOMIC_SPECIES
Zn 65.41 Zn.upf
Tl 204.38 Tl.upf
Os 190.23 Os.upf
ATOMIC_POSITIONS crystal
Zn 0.750 0.250 0.500
Zn 0.250 0.750 0.500
Tl 0.000 0.000 0.000
Os 0.500 0.500 0.000
CELL_PARAMETERS angstrom
3.866 0.000 0.000
0.000 3.866 0.000
-1.933 -1.933 4.220


7.
! BaZr2 PBEsol optimized geometry; values from VASP
! E above lowest polymorph, meV/atom: 211
! Uncorrected energy, eV per atom: -6.12
! Symmetry: P6/mmm
! Total moment, μB per formula unit: 0.0
! ΔH_f (0 K), eV/atom: 0.655
&SYSTEM
  ibrav = 0, nat = 3, ntyp = 2
/
ATOMIC_SPECIES
Zr 91.22 Zr.upf
Ba 137.33 Ba.upf
ATOMIC_POSITIONS crystal
Zr 0.000 0.667 0.333
Zr 0.000 0.333 0.667
Ba 0.500 0.000 0.000
CELL_PARAMETERS angstrom
-1.739 -2.046 -1.747
1.772 -4.137 3.082
-4.544 2.681 1.384


8.
! Hg2RhAu PBEsol optimized geometry; values from VASP
! Uncorrected energy, eV per atom: -3.15
! Symmetry: R-3m
! Total moment, μB per formula unit: 0.0
! ΔH_f (0 K), eV/atom: 0.145
&SYSTEM
  ibrav = 0, nat = 4, ntyp = 3
/
ATOMIC_SPECIES
Hg 200.59 Hg.upf
Rh 102.91 Rh.upf
Au 196.97 Au.upf
ATOMIC_POSITIONS crystal
Hg 0.246 0.246 0.261
Hg 0.754 0.754 0.739
Rh 0.500 0.500 0.500
Au 0.000 0.000 0.000
CELL_PARAMETERS angstrom
2.997 0.000 0.000
1.498 2.595 0.000
1.498 0.865 9.093


9.
! Nb3BiAs PBEsol optimized geometry; values from VASP
! Uncorrected energy, eV per atom: -6.30
! Symmetry: Pm-3m
! Total moment, μB per formula unit: 0.0
! ΔH_f (0 K), eV/atom: 2.067
&SYSTEM
  ibrav = 0, nat = 5, ntyp = 3
/
ATOMIC_SPECIES
Nb 92.91 Nb.upf
As 74.92 As.upf
Bi 208.98 Bi.upf
ATOMIC_POSITIONS crystal
Nb 0.500 0.000 0.000
Nb 0.000 0.500 0.000
Nb 0.000 0.000 0.500
As 0.500 0.500 0.500
Bi 0.000 0.000 0.000
CELL_PARAMETERS angstrom
-4.980 -0.870 0.671
-0.465 -1.153 -4.946
0.996 -4.891 1.047


10.
! P2PbSCl PBEsol optimized geometry; values from VASP
! Uncorrected energy, eV per atom: -3.12
! Symmetry: P4/mmm
! Total moment, μB per formula unit: 1.7
! Uncorrected formation energy, meV per atom: 1275
&SYSTEM
  ibrav = 0, nat = 5, ntyp = 4
/
ATOMIC_SPECIES
Pb 207.20 Pb.upf
S 32.06 S.upf
Cl 35.45 Cl.upf
P 30.97 P.upf
ATOMIC_POSITIONS crystal
Pb 0.000 0.000 0.000
S 0.500 0.000 0.000
Cl 0.500 0.500 0.500
P 0.000 0.000 0.500
P 0.000 0.500 0.000
CELL_PARAMETERS angstrom
5.022 0.000 0.000
0.000 5.274 0.000
0.000 0.000 5.274


11.
! Rb3SiBr PBEsol optimized geometry; values from VASP
! E above lowest polymorph, meV/atom: 0
! Uncorrected energy, eV per atom: -2.35
! Symmetry: Pm-3m
! Total moment, μB per formula unit: 2.0
! Uncorrected formation energy, meV per atom: -210
&SYSTEM
  ibrav = 0, nat = 5, ntyp = 3
/
ATOMIC_SPECIES
Rb 85.47 Rb.upf
Si 28.09 Si.upf
Br 79.90 Br.upf
ATOMIC_POSITIONS crystal
Rb 0.000 0.500 0.000
Rb 0.500 0.000 0.000
Rb 0.000 0.000 0.500
Si 0.500 0.500 0.500
Br 0.000 0.000 0.000
CELL_PARAMETERS angstrom
-4.738 -4.107 -0.943
3.086 -4.348 3.432
-2.870 2.105 5.248


12.
! GaB2O2 PBEsol optimized geometry; values from VASP
! Uncorrected energy, eV per atom: -6.68
! Symmetry: P4/mbm
! Total moment, μB per formula unit: 0.0
! Uncorrected formation energy, meV per atom: -1102
&SYSTEM
  ibrav = 0, nat = 10, ntyp = 3
/
ATOMIC_SPECIES
O 16.00 O.upf
Ga 69.72 Ga.upf
B 10.81 B.upf
ATOMIC_POSITIONS crystal
O 0.500 0.377 0.877
O 0.500 0.123 0.377
O 0.500 0.623 0.123
O 0.500 0.877 0.623
Ga 0.000 0.000 0.000
Ga 0.000 0.500 0.500
B 0.000 0.933 0.567
B 0.000 0.567 0.067
B 0.000 0.067 0.433
B 0.000 0.433 0.933
CELL_PARAMETERS angstrom
-0.477 0.116 2.307
4.755 -7.703 1.372
7.601 4.928 1.324